(1)
A plane-wave DFT calculation with PBE was carried out for a relaxed structure of TlSiSb.

Results
energy relative to the lowest polymorph listed for this composition	0.1073	eV per atom
final energy	-3.69	eV per atom
raw formation energy	0.2831	eV/atom
V	80	Å³ per cell

Cell lengths 6.7653, 6.7652, 3.5580 Å; angles 74.76, 74.75, 30.49 degrees
Fractional positions:
Tl1 0.6835 0.6835 0.3165
Sb1 0.9582 0.9582 0.0418
Si1 0.3584 0.3584 0.6416



(2)
A plane-wave DFT calculation with PBE was carried out for a relaxed structure of TlSiSb.

Results
energy relative to the lowest polymorph listed for this composition	0.0938	eV per atom
final energy	-3.70	eV per atom
raw formation energy	0.2696	eV/atom
V	374	Å³ per cell

Cell lengths 3.9229, 9.7607, 9.7607 Å; angles 90.00, 90.00, 90.00 degrees
Fractional positions:
Si1 0.0000 0.3303 0.2569
Si2 0.5000 0.7431 0.3303
Sb1 0.5000 0.7788 0.6015
Si3 0.5000 0.2569 0.6697
Sb2 0.0000 0.6015 0.2212
Tl1 0.0000 0.0291 0.7700
Sb3 0.5000 0.2212 0.3985
Tl2 0.5000 0.2300 0.0291
Sb4 0.0000 0.3985 0.7788
Tl3 0.0000 0.9709 0.2300
Tl4 0.5000 0.7700 0.9709
Si4 0.0000 0.6697 0.7431



(3)
A plane-wave DFT calculation with PBE was carried out for a relaxed structure of Tl3SiSb.

Results
energy relative to the lowest polymorph listed for this composition	0.0000	eV per atom
final energy	-2.92	eV per atom
raw formation energy	0.4047	eV/atom
V	152	Å³ per cell

Cell lengths 5.3357, 5.3357, 5.3357 Å; angles 90.00, 90.00, 90.00 degrees
Fractional positions:
Tl1 0.0000 0.0000 0.5000
Tl2 0.5000 0.0000 0.0000
Si1 0.0000 0.0000 0.0000
Tl3 0.0000 0.5000 0.0000
Sb1 0.5000 0.5000 0.5000



(4)
A plane-wave DFT calculation with PBE was carried out for a relaxed structure of TlSi2Sb.

Results
energy relative to the lowest polymorph listed for this composition	0.1464	eV per atom
final energy	-3.95	eV per atom
raw formation energy	0.3846	eV/atom
V	99	Å³ per cell

Cell lengths 6.7764, 6.7764, 6.7764 Å; angles 148.73, 141.76, 50.19 degrees
Fractional positions:
Si1 0.9174 0.9174 0.0000
Si2 0.7839 0.2839 0.5000
Tl1 0.5407 0.5407 0.0000
Sb1 0.2580 0.7580 0.5000



(5)
A plane-wave DFT calculation with PBE was carried out for a relaxed structure of TlSi2Sb.

Results
energy relative to the lowest polymorph listed for this composition	0.3718	eV per atom
final energy	-3.72	eV per atom
raw formation energy	0.6100	eV/atom
V	93	Å³ per cell

Cell lengths 5.5230, 5.5230, 5.5230 Å; angles 138.60, 121.32, 74.34 degrees
Fractional positions:
Si1 0.4830 0.4830 0.0000
Si2 0.0170 0.0170 0.0000
Sb1 0.2500 0.7500 0.5000
Tl1 0.7500 0.2500 0.5000



(6)
A plane-wave DFT calculation with PBE was carried out for a relaxed structure of TlSi2Sb.

Results
energy relative to the lowest polymorph listed for this composition	0.0000	eV per atom
final energy	-4.10	eV per atom
raw formation energy	0.2382	eV/atom
V	104	Å³ per cell

Cell lengths 3.7753, 3.7753, 8.3931 Å; angles 89.95, 89.95, 59.96 degrees
Fractional positions:
Tl1 0.4584 0.4584 0.5444
Sb1 0.1246 0.1246 0.2278
Si1 0.7920 0.7920 0.8130
Si2 0.1251 0.1251 0.9149



(7)
A plane-wave DFT calculation with PBE was carried out for a relaxed structure of TlSi2Sb.

Results
energy relative to the lowest polymorph listed for this composition	0.2403	eV per atom
final energy	-3.86	eV per atom
raw formation energy	0.4786	eV/atom
V	103	Å³ per cell

Cell lengths 5.1470, 3.0714, 6.5022 Å; angles 90.13, 90.00, 90.00 degrees
Fractional positions:
Sb1 0.5000 0.7500 0.7500
Tl1 0.5000 0.2500 0.2500
Si1 0.0000 0.4996 0.5923
Si2 0.0000 0.0004 0.9077



(8)
A plane-wave DFT calculation with PBE was carried out for a relaxed structure of TlSi2Sb.

Results
energy relative to the lowest polymorph listed for this composition	0.4134	eV per atom
final energy	-3.68	eV per atom
raw formation energy	0.6517	eV/atom
V	91	Å³ per cell

Cell lengths 5.0401, 5.0401, 5.0401 Å; angles 60.00, 60.00, 60.00 degrees
Fractional positions:
Sb1 0.5000 0.5000 0.5000
Tl1 0.7500 0.7500 0.7500
Si1 0.0000 0.0000 0.0000
Si2 0.2500 0.2500 0.2500